# 1
{"formula": "CrSi", "functional": "SCAN", "state": "PBEsol geometry", "lattice_angstrom": [[4.548, 0.000, 0.000], [0.000, 4.548, 0.000], [0.000, 0.000, 4.548]], "species": ["Cr", "Cr", "Cr", "Cr", "Si", "Si", "Si", "Si"], "frac_coords": [[0.138, 0.138, 0.138], [0.362, 0.862, 0.638], [0.638, 0.362, 0.862], [0.862, 0.638, 0.362], [0.152, 0.348, 0.652], [0.348, 0.652, 0.152], [0.652, 0.152, 0.348], [0.848, 0.848, 0.848]], "volume_a3_per_fu": 23.5, "dos_ef_per_ev_atom": 0.9510, "space_group": "P2_13 (198)", "e_form_raw_ev_per_atom": -0.226}


# 2
{"formula": "CrSi2", "functional": "SCAN", "state": "PBEsol geometry", "lattice_angstrom": [[-1.526, 1.526, 3.739], [1.526, -1.526, 3.739], [1.526, 1.526, -3.739]], "species": ["Cr", "Si", "Si"], "frac_coords": [[0.000, 0.000, 0.000], [0.337, 0.337, 0.000], [0.663, 0.663, 0.000]], "volume_a3_per_fu": 34.8, "dos_ef_per_ev_atom": 0.0399, "space_group": "I4/mmm (139)", "e_form_raw_ev_per_atom": -0.333}


# 3
{"formula": "CrSi3", "functional": "SCAN", "state": "PBEsol geometry", "lattice_angstrom": [[2.684, 0.000, 0.000], [0.000, 2.684, 0.000], [0.000, 0.000, 7.108]], "species": ["Cr", "Si", "Si", "Si"], "frac_coords": [[0.000, 0.000, 0.000], [0.000, 0.000, 0.500], [0.500, 0.500, 0.224], [0.500, 0.500, 0.776]], "volume_a3_per_fu": 51.2, "dos_ef_per_ev_atom": 0.4774, "space_group": "P4/mmm (123)", "e_form_raw_ev_per_atom": 0.233}


# 4
{"formula": "Cr3Si", "functional": "SCAN", "state": "PBEsol geometry", "lattice_angstrom": [[4.464, 0.000, 0.000], [0.000, 4.464, 0.000], [0.000, 0.000, 4.464]], "species": ["Cr", "Cr", "Cr", "Cr", "Cr", "Cr", "Si", "Si"], "frac_coords": [[0.000, 0.250, 0.500], [0.000, 0.750, 0.500], [0.250, 0.500, 0.000], [0.500, 0.000, 0.250], [0.500, 0.000, 0.750], [0.750, 0.500, 0.000], [0.000, 0.000, 0.000], [0.500, 0.500, 0.500]], "volume_a3_per_fu": 44.5, "e_above_lowest_polymorph_mev_per_atom": 0, "dos_ef_per_ev_atom": 0.6486, "space_group": "Pm-3n (223)", "e_form_raw_ev_per_atom": -0.316}


# 5
{"formula": "CrSi", "functional": "SCAN", "state": "PBEsol geometry", "lattice_angstrom": [[2.993, 0.000, 0.000], [0.000, 2.993, 0.000], [0.000, 0.000, 5.133]], "species": ["Cr", "Cr", "Si", "Si"], "frac_coords": [[0.250, 0.250, 0.139], [0.750, 0.750, 0.861], [0.250, 0.250, 0.636], [0.750, 0.750, 0.364]], "volume_a3_per_fu": 23.0, "dos_ef_per_ev_atom": 0.3097, "space_group": "P4/nmm (129)", "e_form_raw_ev_per_atom": -0.254}


# 6
{"formula": "Cr5Si3", "functional": "SCAN", "state": "PBEsol geometry", "lattice_angstrom": [[-4.491, 4.491, 2.264], [4.491, -4.491, 2.264], [4.491, 4.491, -2.264]], "species": ["Cr", "Cr", "Cr", "Cr", "Cr", "Cr", "Cr", "Cr", "Cr", "Cr", "Si", "Si", "Si", "Si", "Si", "Si"], "frac_coords": [[0.076, 0.771, 0.848], [0.229, 0.076, 0.305], [0.250, 0.750, 0.500], [0.271, 0.576, 0.848], [0.424, 0.271, 0.695], [0.576, 0.729, 0.305], [0.729, 0.424, 0.152], [0.750, 0.250, 0.500], [0.771, 0.924, 0.695], [0.924, 0.229, 0.152], [0.168, 0.332, 0.500], [0.250, 0.250, 0.000], [0.332, 0.832, 0.165], [0.668, 0.168, 0.835], [0.750, 0.750, 0.000], [0.832, 0.668, 0.500]], "volume_a3_per_fu": 91.3, "dos_ef_per_ev_atom": 0.7813, "space_group": "I4/mcm (140)", "e_form_raw_ev_per_atom": -0.261}


# 7
{"formula": "Cr3Si4", "functional": "SCAN", "state": "PBEsol geometry", "lattice_angstrom": [[-1.508, 1.508, 8.892], [1.508, -1.508, 8.892], [1.508, 1.508, -8.892]], "species": ["Cr", "Cr", "Cr", "Si", "Si", "Si", "Si"], "frac_coords": [[0.000, 0.000, 0.000], [0.291, 0.291, 0.000], [0.709, 0.709, 0.000], [0.145, 0.145, 0.000], [0.431, 0.431, 0.000], [0.569, 0.569, 0.000], [0.855, 0.855, 0.000]], "volume_a3_per_fu": 80.8, "dos_ef_per_ev_atom": 0.3652, "space_group": "I4/mmm (139)", "e_form_raw_ev_per_atom": -0.279}


# 8
{"formula": "CrSi3", "functional": "SCAN", "state": "PBEsol geometry", "lattice_angstrom": [[4.209, -1.389, 0.000], [4.209, 1.389, 0.000], [-0.375, 0.000, 4.232]], "species": ["Cr", "Si", "Si", "Si"], "frac_coords": [[0.000, 0.000, 0.000], [0.261, 0.261, 0.763], [0.500, 0.500, 0.500], [0.739, 0.739, 0.237]], "volume_a3_per_fu": 49.5, "dos_ef_per_ev_atom": 0.4526, "space_group": "C2/m (12)", "e_form_raw_ev_per_atom": 0.172}